VASP calculation (PBE-GGA) on crystalline SmNpTi2O8 at its relaxed geometry.

Calculated values
DFT total energy, eV per cell: -109.81
Formation energy from raw total energies, eV/atom: -3.058

a b c (Å): 5.1664 5.1664 6.6551
angles (deg): 112.84 112.84 90.00
With the nearest neighbours (Å) after each atom.
Atoms (fractional coordinates):
O: 0.0832 0.0030 0.6779  1 Ti 1.86
O: 0.7601 0.8402 0.1577  1 Ti 1.86
O: 0.5948 0.6750 0.6779  1 Ti 1.86
O: 0.9970 0.4052 0.3221  1 Ti 1.86
O: 0.3250 0.9168 0.3221  1 Ti 1.86
O: 0.1598 0.6024 0.8423  1 Ti 1.86
O: 0.6825 0.2399 0.8423  1 Ti 1.86
O: 0.3976 0.3175 0.1577  1 Ti 1.86
Ti: 0.5000 0.5000 0.0000  4 O 1.86
Ti: 0.2500 0.7500 0.5000  4 O 1.86
Np: 0.0000 0.0000 0.0000  8 O 2.24-2.35
Sm: 0.7500 0.2500 0.5000  8 O 2.36-2.45

---

VASP calculation (PBE-GGA) on crystalline SmNpTl2O6 at its relaxed geometry.

Calculated values
DFT total energy, eV per cell: -149.35
Formation energy from raw total energies, eV/atom: -2.253

a b c (Å): 6.2065 6.2060 8.7769
angles (deg): 90.00 90.01 90.00
With the nearest neighbours (Å) after each atom.
Atoms (fractional coordinates):
O: 0.7676 0.7323 0.9989  1 Np 2.04
O: 0.2676 0.7678 0.4989  1 Np 2.04
O: 0.2678 0.2324 0.4990  1 Np 2.04
O: 0.7678 0.2675 0.9990  1 Np 2.04
O: 0.7324 0.2322 0.5011  1 Np 2.04
O: 0.9980 0.5001 0.2323  1 Np 2.04
O: 0.2322 0.7325 0.0010  1 Np 2.04
O: 0.4980 0.9999 0.7323  1 Np 2.04
O: 0.0020 0.4999 0.7677  1 Np 2.04
O: 0.5020 0.0001 0.2677  1 Np 2.04
O: 0.2324 0.2677 0.0011  1 Np 2.04
O: 0.7322 0.7676 0.5010  1 Np 2.04
Tl: 0.5000 0.5002 0.2500  12 O 3.10-3.12
Tl: 0.9999 0.9998 0.7501  12 O 3.10-3.12
Tl: 0.5000 0.4998 0.7500  12 O 3.10-3.12
Tl: 0.0001 0.0002 0.2499  12 O 3.10-3.12
Np: 0.0000 0.5000 0.0000  6 O 2.04
Np: 0.5000 0.0000 0.5000  6 O 2.04
Sm: 0.5000 0.0000 0.0000  6 O 2.35
Sm: 0.0000 0.5000 0.5000  6 O 2.35

---

VASP calculation (PBE-GGA) on crystalline SmNpTlO6 at its relaxed geometry.

Calculated values
DFT total energy, eV per cell: -141.52
Formation energy from raw total energies, eV/atom: -2.332

a b c (Å): 5.6383 5.6383 10.1534
angles (deg): 90.00 90.00 120.00
With the nearest neighbours (Å) after each atom.
Atoms (fractional coordinates):
Np: 0.6667 0.3333 0.2500  6 O 2.09
Np: 0.3333 0.6667 0.7500  6 O 2.09
O: 0.9708 0.3295 0.1338  1 Np 2.09, 1 Tl 2.30
O: 0.3295 0.9708 0.6338  1 Np 2.09, 1 Tl 2.30
O: 0.6705 0.6413 0.1338  1 Np 2.09, 1 Tl 2.30
O: 0.6705 0.0292 0.3662  1 Np 2.09, 1 Tl 2.30
O: 0.0292 0.3587 0.6338  1 Np 2.09, 1 Tl 2.30
O: 0.3587 0.3295 0.3662  1 Np 2.09, 1 Tl 2.30
O: 0.6413 0.6705 0.6338  1 Np 2.09, 1 Tl 2.30
O: 0.9708 0.6413 0.3662  1 Np 2.09, 1 Tl 2.30
O: 0.3295 0.3587 0.8662  1 Np 2.09, 1 Tl 2.30
O: 0.0292 0.6705 0.8662  1 Np 2.09, 1 Tl 2.30
O: 0.3587 0.0292 0.1338  1 Np 2.09, 1 Tl 2.30
O: 0.6413 0.9708 0.8662  1 Np 2.09, 1 Tl 2.30
Sm: 0.0000 0.0000 0.0000  6 O 2.37
Sm: 0.0000 0.0000 0.5000  6 O 2.37
Tl: 0.6667 0.3333 0.7500  6 O 2.30
Tl: 0.3333 0.6667 0.2500  6 O 2.30